(1)
Entry from Alexandria: an optimized crystal structure of CuPSCl2 (PBE-GGA).

It has space group P4/mmm (No. 123), with a = 4.854 Å, b = 4.854 Å, c = 4.475 Å, α = 90.00°, β = 90.00° and γ = 90.00°. Symmetry generates all atoms from Cu at (0.000, 0.000, 0.000), P at (0.500, 0.500, 0.500), S at (0.500, 0.500, 0.000) and Cl at (0.000, 0.500, 0.500).

As for the energy above the most stable polymorph in this dataset: 0 meV per atom. The spin magnetization comes out at 0.00 Bohr magnetons per cell. Its formation energy (no corrections) is 33.76 kJ per mole of atoms. For the total energy, the calculation gives -3.115 eV/atom.

---

(2)
Entry from Alexandria: an optimized crystal structure of Tb2CeHoIn4 (PBE-GGA).

It has space group R-3m (No. 166, hexagonal axes), with a = 5.3529 Å, b = 5.3529 Å, c = 26.3925 Å, α = 90.00°, β = 90.00° and γ = 120.00°. Symmetry generates all atoms from Tb at (0.0000, 0.0000, 0.2494), Ce at (0.0000, 0.0000, 0.0000), Ho at (0.0000, 0.0000, 0.5000), In at (0.0000, 0.0000, 0.1263) and In at (0.0000, 0.0000, 0.3765).

The spin magnetization comes out at 2.87 Bohr magnetons per cell. For the formation energy, the calculation gives -0.4293 eV/atom. For the total energy, the calculation gives -4.270 eV/atom.

---

(3)
Entry from Alexandria: an optimized crystal structure of LiCdBrCl2 (PBE-GGA).

It has space group P2_1/m (No. 11), with a = 6.895 Å, b = 4.100 Å, c = 9.415 Å, α = 90.00°, β = 91.50° and γ = 90.00°. Symmetry generates all atoms from Li at (0.108, 0.250, 0.424), Cd at (0.256, 0.750, 0.991), Br at (0.417, 0.250, 0.830), Cl at (0.091, 0.250, 0.144) and Cl at (0.218, 0.750, 0.502).

The spin magnetization comes out at 0.00 Bohr magnetons per cell. Its formation energy (no corrections) is -120.81 kJ per mole of atoms. For the total energy, the calculation gives -2.891 eV/atom.

---

(4)
Entry from Alexandria: an optimized crystal structure of Li3AcZn (PBE-GGA).

It has space group P6_3/mmc (No. 194), with a = 6.9408 Å, b = 6.9408 Å, c = 5.7493 Å, α = 90.00°, β = 90.00° and γ = 120.00°. Symmetry generates all atoms from Li at (0.1836, 0.3671, 0.2500), Ac at (0.3333, 0.6667, 0.7500) and Zn at (0.0000, 0.0000, 0.0000).

As for the energy above the most stable polymorph in this dataset: 0 meV per atom. The spin magnetization comes out at 1.72 Bohr magnetons per cell. For the formation energy, the calculation gives 0.0682 eV/atom. For the total energy, the calculation gives -2.157 eV/atom.